Record 1
# Li2Zn | Alexandria | meta-GGA SCAN | single point on PBEsol structure
# formation energy	-149	meV per atom
# size of the total moment	0.00	Bohr magnetons per cell
data_Li2Zn
_chemical_formula_sum 'Li4 Zn2'
_symmetry_space_group_name_H-M 'P 1'
_symmetry_Int_Tables_number 1
_symmetry_space_group_name_Hall 'P 1'
_cell_length_a 5.164
_cell_length_b 5.164
_cell_length_c 5.164
_cell_angle_alpha 103.30
_cell_angle_beta 103.30
_cell_angle_gamma 122.68
loop_
_atom_site_label
_atom_site_fract_x
_atom_site_fract_y
_atom_site_fract_z
Li1 0.161 0.661 0.822
Li2 0.339 0.161 0.500
Li3 0.661 0.839 0.500
Li4 0.839 0.339 0.178
Zn1 0.250 0.250 0.000
Zn2 0.750 0.750 0.000

Record 2
# LiZn | Alexandria | meta-GGA SCAN | single point on PBEsol structure
# formation energy	-59	meV per atom
# size of the total moment	0.00	Bohr magnetons per cell
data_LiZn
_chemical_formula_sum 'Li2 Zn2'
_symmetry_space_group_name_H-M 'P 1'
_symmetry_Int_Tables_number 1
_symmetry_space_group_name_Hall 'P 1'
_cell_length_a 2.742
_cell_length_b 2.742
_cell_length_c 9.201
_cell_angle_alpha 90.00
_cell_angle_beta 90.00
_cell_angle_gamma 120.00
loop_
_atom_site_label
_atom_site_fract_x
_atom_site_fract_y
_atom_site_fract_z
Li1 0.333 0.667 0.137
Li2 0.667 0.333 0.863
Zn1 0.333 0.667 0.622
Zn2 0.667 0.333 0.378

Record 3
# Li4Zn5 | Alexandria | meta-GGA SCAN | single point on PBEsol structure
# formation energy	-181	meV per atom
# size of the total moment	0.00	Bohr magnetons per cell
# polymorph energy (0 for the lowest one)	0.0	kJ/mol of atoms
data_Li4Zn5
_chemical_formula_sum 'Li4 Zn5'
_symmetry_space_group_name_H-M 'P 1'
_symmetry_Int_Tables_number 1
_symmetry_space_group_name_Hall 'P 1'
_cell_length_a 5.964
_cell_length_b 5.964
_cell_length_c 5.964
_cell_angle_alpha 96.65
_cell_angle_beta 96.65
_cell_angle_gamma 140.22
loop_
_atom_site_label
_atom_site_fract_x
_atom_site_fract_y
_atom_site_fract_z
Li1 0.000 0.321 0.321
Li2 0.000 0.679 0.679
Li3 0.321 0.000 0.321
Li4 0.679 0.000 0.679
Zn1 0.000 0.000 0.000
Zn2 0.334 0.334 0.669
Zn3 0.334 0.666 0.000
Zn4 0.666 0.334 0.000
Zn5 0.666 0.666 0.331

Record 4
# LiZn2 | Alexandria | meta-GGA SCAN | single point on PBEsol structure
# formation energy	-147	meV per atom
# size of the total moment	0.00	Bohr magnetons per cell
data_LiZn2
_chemical_formula_sum 'Li2 Zn4'
_symmetry_space_group_name_H-M 'P 1'
_symmetry_Int_Tables_number 1
_symmetry_space_group_name_Hall 'P 1'
_cell_length_a 5.196
_cell_length_b 5.196
_cell_length_c 6.459
_cell_angle_alpha 103.87
_cell_angle_beta 103.87
_cell_angle_gamma 29.64
loop_
_atom_site_label
_atom_site_fract_x
_atom_site_fract_y
_atom_site_fract_z
Li1 0.000 0.000 0.000
Li2 0.668 0.668 0.348
Zn1 0.055 0.055 0.625
Zn2 0.331 0.331 0.670
Zn3 0.391 0.391 0.292
Zn4 0.732 0.732 0.957

Record 5
# Li5Zn3 | Alexandria | meta-GGA SCAN | single point on PBEsol structure
# formation energy	-116	meV per atom
# size of the total moment	0.00	Bohr magnetons per cell
# polymorph energy (0 for the lowest one)	3.1	kJ/mol of atoms
data_Li5Zn3
_chemical_formula_sum 'Li10 Zn6'
_symmetry_space_group_name_H-M 'P 1'
_symmetry_Int_Tables_number 1
_symmetry_space_group_name_Hall 'P 1'
_cell_length_a 7.745
_cell_length_b 7.745
_cell_length_c 4.877
_cell_angle_alpha 90.00
_cell_angle_beta 90.00
_cell_angle_gamma 120.00
loop_
_atom_site_label
_atom_site_fract_x
_atom_site_fract_y
_atom_site_fract_z
Li1 0.000 0.240 0.250
Li2 0.000 0.760 0.750
Li3 0.240 0.000 0.250
Li4 0.240 0.240 0.750
Li5 0.333 0.667 0.000
Li6 0.333 0.667 0.500
Li7 0.667 0.333 0.000
Li8 0.667 0.333 0.500
Li9 0.760 0.000 0.750
Li10 0.760 0.760 0.250
Zn1 0.000 0.414 0.750
Zn2 0.000 0.586 0.250
Zn3 0.414 0.000 0.750
Zn4 0.414 0.414 0.250
Zn5 0.586 0.000 0.250
Zn6 0.586 0.586 0.750

Record 6
# LiZn2 | Alexandria | meta-GGA SCAN | single point on PBEsol structure
# formation energy	-176	meV per atom
# size of the total moment	0.00	Bohr magnetons per cell
data_LiZn2
_chemical_formula_sum 'Li2 Zn4'
_symmetry_space_group_name_H-M 'P 1'
_symmetry_Int_Tables_number 1
_symmetry_space_group_name_Hall 'P 1'
_cell_length_a 4.271
_cell_length_b 4.271
_cell_length_c 5.122
_cell_angle_alpha 90.00
_cell_angle_beta 90.00
_cell_angle_gamma 120.00
loop_
_atom_site_label
_atom_site_fract_x
_atom_site_fract_y
_atom_site_fract_z
Li1 0.333 0.667 0.250
Li2 0.667 0.333 0.750
Zn1 0.000 0.000 0.000
Zn2 0.000 0.000 0.500
Zn3 0.333 0.667 0.750
Zn4 0.667 0.333 0.250

Record 7
# LiZn | Alexandria | meta-GGA SCAN | single point on PBEsol structure
# formation energy	-191	meV per atom
# size of the total moment	0.00	Bohr magnetons per cell
data_LiZn
_chemical_formula_sum 'Li2 Zn2'
_symmetry_space_group_name_H-M 'P 1'
_symmetry_Int_Tables_number 1
_symmetry_space_group_name_Hall 'P 1'
_cell_length_a 5.380
_cell_length_b 5.380
_cell_length_c 4.163
_cell_angle_alpha 90.00
_cell_angle_beta 90.00
_cell_angle_gamma 152.59
loop_
_atom_site_label
_atom_site_fract_x
_atom_site_fract_y
_atom_site_fract_z
Li1 0.066 0.934 0.750
Li2 0.934 0.066 0.250
Zn1 0.315 0.685 0.750
Zn2 0.685 0.315 0.250

Record 8
# Li2Zn | Alexandria | meta-GGA SCAN | single point on PBEsol structure
# formation energy	-126	meV per atom
# size of the total moment	0.00	Bohr magnetons per cell
data_Li2Zn
_chemical_formula_sum 'Li6 Zn3'
_symmetry_space_group_name_H-M 'P 1'
_symmetry_Int_Tables_number 1
_symmetry_space_group_name_Hall 'P 1'
_cell_length_a 7.703
_cell_length_b 7.703
_cell_length_c 2.722
_cell_angle_alpha 90.00
_cell_angle_beta 90.00
_cell_angle_gamma 120.00
loop_
_atom_site_label
_atom_site_fract_x
_atom_site_fract_y
_atom_site_fract_z
Li1 0.000 0.364 0.000
Li2 0.000 0.698 0.500
Li3 0.302 0.302 0.500
Li4 0.364 0.000 0.000
Li5 0.636 0.636 0.000
Li6 0.698 0.000 0.500
Zn1 0.000 0.000 0.000
Zn2 0.333 0.667 0.500
Zn3 0.667 0.333 0.500

Record 9
# Li2Zn | Alexandria | meta-GGA SCAN | single point on PBEsol structure
# formation energy	-115	meV per atom
# size of the total moment	0.03	Bohr magnetons per cell
data_Li2Zn
_chemical_formula_sum 'Li2 Zn1'
_symmetry_space_group_name_H-M 'P 1'
_symmetry_Int_Tables_number 1
_symmetry_space_group_name_Hall 'P 1'
_cell_length_a 6.434
_cell_length_b 6.434
_cell_length_c 6.434
_cell_angle_alpha 155.18
_cell_angle_beta 155.18
_cell_angle_gamma 35.39
loop_
_atom_site_label
_atom_site_fract_x
_atom_site_fract_y
_atom_site_fract_z
Li1 0.155 0.155 0.000
Li2 0.845 0.845 0.000
Zn1 0.500 0.500 0.000

Record 10
# Li4Zn5 | Alexandria | meta-GGA SCAN | single point on PBEsol structure
# formation energy	-147	meV per atom
# size of the total moment	0.00	Bohr magnetons per cell
# polymorph energy (0 for the lowest one)	3.3	kJ/mol of atoms
data_Li4Zn5
_chemical_formula_sum 'Li8 Zn10'
_symmetry_space_group_name_H-M 'P 1'
_symmetry_Int_Tables_number 1
_symmetry_space_group_name_Hall 'P 1'
_cell_length_a 7.493
_cell_length_b 7.493
_cell_length_c 5.184
_cell_angle_alpha 90.00
_cell_angle_beta 90.00
_cell_angle_gamma 120.00
loop_
_atom_site_label
_atom_site_fract_x
_atom_site_fract_y
_atom_site_fract_z
Li1 0.000 0.000 0.000
Li2 0.000 0.000 0.500
Li3 0.000 0.316 0.250
Li4 0.000 0.684 0.750
Li5 0.316 0.000 0.250
Li6 0.316 0.316 0.750
Li7 0.684 0.000 0.750
Li8 0.684 0.684 0.250
Zn1 0.000 0.355 0.750
Zn2 0.000 0.645 0.250
Zn3 0.333 0.667 0.000
Zn4 0.333 0.667 0.500
Zn5 0.355 0.000 0.750
Zn6 0.355 0.355 0.250
Zn7 0.645 0.000 0.250
Zn8 0.645 0.645 0.750
Zn9 0.667 0.333 0.000
Zn10 0.667 0.333 0.500

- Look up the size of the total moment of the ninth one.
  0.03 Bohr magnetons per cell